A plane-wave DFT calculation with PBE was carried out for a geometry-optimized LaCd2Tc2 structure.

**Energy of formation**: 372 meV/atom
**Calculated volume**: 107.89 Å³/f.u.
**Electronic total energy**: -5.126 eV/atom
**Total magnetization**: 0.0 Bohr magnetons per cell

Lattice parameters (Å, degrees): 3.931 3.931 7.516 74.84 74.84 90.00
Fractional positions:
Cd 0.607 0.607 0.785
Cd 0.393 0.393 0.215
Tc 0.250 0.750 0.500
Tc 0.750 0.250 0.500
La 0.000 0.000 0.000



A plane-wave DFT calculation with PBE was carried out for a geometry-optimized LaCd2Tc structure.

**Energy of formation**: 175 meV/atom
**Calculated volume**: 92.78 Å³/f.u.
**Electronic total energy**: -4.106 eV/atom
**Total magnetization**: 0.0 Bohr magnetons per cell

Lattice parameters (Å, degrees): 4.216 3.749 6.162 72.30 90.00 90.00
Fractional positions:
Cd 0.000 0.800 0.026
Cd 0.500 0.216 0.192
La 0.000 0.522 0.580
Tc 0.500 0.962 0.703



A plane-wave DFT calculation with PBE was carried out for a geometry-optimized La6CdTc structure.

**Energy of formation**: 113 meV/atom
**Calculated volume**: 268.46 Å³/f.u.
**Electronic total energy**: -4.993 eV/atom
**Total magnetization**: 0.0 Bohr magnetons per cell

Lattice parameters (Å, degrees): 11.374 11.374 7.322 105.05 113.78 124.98
Fractional positions:
La 0.046 0.179 0.225
La 0.954 0.821 0.775
La 0.827 0.311 0.138
La 0.549 0.735 0.954
La 0.613 0.274 0.522
La 0.173 0.689 0.862
La 0.248 0.909 0.522
La 0.219 0.405 0.954
La 0.451 0.265 0.046
La 0.387 0.726 0.478
La 0.752 0.091 0.478
La 0.781 0.595 0.046
Cd 0.500 0.500 0.500
Cd 0.000 0.000 0.500
Tc 0.000 0.500 0.000
Tc 0.500 0.000 0.000



A plane-wave DFT calculation with PBE was carried out for a geometry-optimized LaCd2Tc structure.

**Energy of formation**: 254 meV/atom
**Calculated volume**: 89.81 Å³/f.u.
**Electronic total energy**: -4.027 eV/atom
**Total magnetization**: 1.7 Bohr magnetons per cell

Lattice parameters (Å, degrees): 3.235 3.235 8.583 90.00 90.00 90.00
Fractional positions:
Tc 0.500 0.500 0.750
Cd 0.000 0.000 0.546
Cd 0.000 0.000 0.954
La 0.500 0.500 0.250



A plane-wave DFT calculation with PBE was carried out for a geometry-optimized LaCd2Tc structure.

**Energy of formation**: 396 meV/atom
**Calculated volume**: 86.67 Å³/f.u.
**Electronic total energy**: -3.885 eV/atom
**Total magnetization**: 0.4 Bohr magnetons per cell

Lattice parameters (Å, degrees): 10.830 10.830 10.830 16.25 16.25 16.25
Fractional positions:
La 0.250 0.250 0.250
Cd 0.011 0.011 0.011
Cd 0.489 0.489 0.489
Tc 0.750 0.750 0.750



A plane-wave DFT calculation with PBE was carried out for a geometry-optimized La6Cd2Tc structure.

**Energy of formation**: -152 meV/atom
**Calculated volume**: 281.90 Å³/f.u.
**Electronic total energy**: -4.792 eV/atom
**Total magnetization**: 0.0 Bohr magnetons per cell

Lattice parameters (Å, degrees): 4.017 9.118 8.946 120.64 90.00 90.00
Fractional positions:
La 0.500 0.395 0.402
La 0.000 0.235 0.000
La 0.000 0.766 0.773
La 0.000 0.993 0.227
La 0.500 0.993 0.598
La 0.500 0.601 0.000
Tc 0.500 0.029 0.000
Cd 0.000 0.662 0.335
Cd 0.000 0.327 0.665